[1]
The following is a PBE calculation of a geometry-optimized ThCoSb structure, from Alexandria.

```
data_ThCoSb
_chemical_formula_sum 'Th2 Co2 Sb2'
_symmetry_space_group_name_H-M 'I 4 m m'
_symmetry_Int_Tables_number 107
_symmetry_space_group_name_Hall 'I 4 -2'
_cell_length_a 3.882
_cell_length_b 3.882
_cell_length_c 9.829
_cell_angle_alpha 90.00
_cell_angle_beta 90.00
_cell_angle_gamma 90.00
loop_
_atom_site_label
_atom_site_fract_x
_atom_site_fract_y
_atom_site_fract_z
_atom_site_occupancy
Th1 0.000 0.000 0.000 1
Co1 0.000 0.000 0.574 1
Sb1 0.000 0.000 0.312 1
```

## Properties
D(E_F), states/eV per atom: 0.9510
Final energy, eV/atom: -6.2928
Raw formation energy, eV per formula unit: -0.23
Density, kg/m3: 9254

[2]
The following is a PBE calculation of a geometry-optimized Th4Co3Sb8 structure, from Alexandria.

```
data_Th4Co3Sb8
_chemical_formula_sum 'Th4 Co3 Sb8'
_symmetry_space_group_name_H-M 'P -4 m 2'
_symmetry_Int_Tables_number 115
_symmetry_space_group_name_Hall 'P -4 -2'
_cell_length_a 4.426
_cell_length_b 4.426
_cell_length_c 19.032
_cell_angle_alpha 90.00
_cell_angle_beta 90.00
_cell_angle_gamma 90.00
loop_
_atom_site_label
_atom_site_fract_x
_atom_site_fract_y
_atom_site_fract_z
_atom_site_occupancy
Th1 0.000 0.500 0.112 1
Th2 0.000 0.500 0.616 1
Co1 0.000 0.000 0.000 1
Co2 0.000 0.000 0.500 1
Co3 0.500 0.500 0.500 1
Sb1 0.000 0.000 0.247 1
Sb2 0.000 0.500 0.428 1
Sb3 0.000 0.500 0.935 1
Sb4 0.500 0.500 0.247 1
```

## Properties
D(E_F), states/eV per atom: 0.5731
Final energy, eV/atom: -6.2639
Raw formation energy, eV per formula unit: -9.98
Density, kg/m3: 9261

[3]
The following is a PBE calculation of a geometry-optimized Th12CoSb6 structure, from Alexandria.

```
data_Th12CoSb6
_chemical_formula_sum 'Th36 Co3 Sb18'
_symmetry_space_group_name_H-M 'R -3'
_symmetry_Int_Tables_number 148
_symmetry_space_group_name_Hall '-R 3'
_cell_length_a 13.1500
_cell_length_b 13.1500
_cell_length_c 12.3608
_cell_angle_alpha 90.00
_cell_angle_beta 90.00
_cell_angle_gamma 120.00
loop_
_atom_site_label
_atom_site_fract_x
_atom_site_fract_y
_atom_site_fract_z
_atom_site_occupancy
Th1 0.0324 0.8432 0.3878 1
Th2 0.0779 0.8865 0.8696 1
Co1 0.0000 0.0000 0.0000 1
Sb1 0.0355 0.6171 0.2992 1
```

## Properties
D(E_F), states/eV per atom: 1.1146
Final energy, eV/atom: -6.7191
Raw formation energy, eV per formula unit: -6.79
Density, kg/m3: 9618

[4]
The following is a PBE calculation of a geometry-optimized Th3Co3Sb4 structure, from Alexandria.

```
data_Th3Co3Sb4
_chemical_formula_sum 'Th12 Co12 Sb16'
_symmetry_space_group_name_H-M 'I -4 3 d'
_symmetry_Int_Tables_number 220
_symmetry_space_group_name_Hall 'I -4bd 2c 3'
_cell_length_a 9.611
_cell_length_b 9.611
_cell_length_c 9.611
_cell_angle_alpha 90.00
_cell_angle_beta 90.00
_cell_angle_gamma 90.00
loop_
_atom_site_label
_atom_site_fract_x
_atom_site_fract_y
_atom_site_fract_z
_atom_site_occupancy
Th1 0.000 0.250 0.375 1
Co1 0.000 0.250 0.875 1
Sb1 0.080 0.080 0.080 1
```

## Properties
D(E_F), states/eV per atom: 1.5070
Final energy, eV/atom: -6.7287
Raw formation energy, eV per formula unit: -7.22
Density, kg/m3: 10176

[5]
The following is a PBE calculation of a geometry-optimized Th4Co2Sb structure, from Alexandria.

```
data_Th4Co2Sb
_chemical_formula_sum 'Th16 Co8 Sb4'
_symmetry_space_group_name_H-M 'I -4 2 d'
_symmetry_Int_Tables_number 122
_symmetry_space_group_name_Hall 'I -4 2bw'
_cell_length_a 9.429
_cell_length_b 9.429
_cell_length_c 8.392
_cell_angle_alpha 90.00
_cell_angle_beta 90.00
_cell_angle_gamma 90.00
loop_
_atom_site_label
_atom_site_fract_x
_atom_site_fract_y
_atom_site_fract_z
_atom_site_occupancy
Th1 0.063 0.181 0.340 1
Co1 0.099 0.250 0.625 1
Sb1 0.000 0.000 0.000 1
```

## Properties
D(E_F), states/eV per atom: 0.7334
Final energy, eV/atom: -7.2321
Raw formation energy, eV per formula unit: -2.61
Density, kg/m3: 10396

[6]
The following is a PBE calculation of a geometry-optimized Ti6CoSb structure, from Alexandria.

```
data_Ti6CoSb
_chemical_formula_sum 'Ti18 Co3 Sb3'
_symmetry_space_group_name_H-M 'R -3 m'
_symmetry_Int_Tables_number 166
_symmetry_space_group_name_Hall '-R 3 2"'
_cell_length_a 8.7191
_cell_length_b 8.7191
_cell_length_c 6.4988
_cell_angle_alpha 90.00
_cell_angle_beta 90.00
_cell_angle_gamma 120.00
loop_
_atom_site_label
_atom_site_fract_x
_atom_site_fract_y
_atom_site_fract_z
_atom_site_occupancy
Ti1 0.0488 0.5244 0.3039 1
Co1 0.0000 0.0000 0.5000 1
Sb1 0.0000 0.0000 0.0000 1
```

## Properties
D(E_F), states/eV per atom: 1.1738
Final energy, eV/atom: -7.3162
Raw formation energy, eV per formula unit: 0.07
Density, kg/m3: 5448

[7]
The following is a PBE calculation of a geometry-optimized Ti8Co2Sb structure, from Alexandria.

```
data_Ti8Co2Sb
_chemical_formula_sum 'Ti16 Co4 Sb2'
_symmetry_space_group_name_H-M 'C 1 2/m 1'
_symmetry_Int_Tables_number 12
_symmetry_space_group_name_Hall '-C 2y'
_cell_length_a 7.102
_cell_length_b 11.587
_cell_length_c 4.726
_cell_angle_alpha 90.00
_cell_angle_beta 107.18
_cell_angle_gamma 90.00
loop_
_atom_site_label
_atom_site_fract_x
_atom_site_fract_y
_atom_site_fract_z
_atom_site_occupancy
Ti1 0.000 0.246 0.000 1
Ti2 0.085 0.000 0.806 1
Ti3 0.212 0.380 0.566 1
Co1 0.000 0.207 0.500 1
Sb1 0.000 0.500 0.000 1
```

## Properties
D(E_F), states/eV per atom: 1.1062
Final energy, eV/atom: -7.5726
Raw formation energy, eV per formula unit: -1.80
Density, kg/m3: 5565

[8]
The following is a PBE calculation of a geometry-optimized Ti5CoSb2 structure, from Alexandria.

```
data_Ti5CoSb2
_chemical_formula_sum 'Ti20 Co4 Sb8'
_symmetry_space_group_name_H-M 'I 4/m c m'
_symmetry_Int_Tables_number 140
_symmetry_space_group_name_Hall '-I 4 2c'
_cell_length_a 10.469
_cell_length_b 10.469
_cell_length_c 5.068
_cell_angle_alpha 90.00
_cell_angle_beta 90.00
_cell_angle_gamma 90.00
loop_
_atom_site_label
_atom_site_fract_x
_atom_site_fract_y
_atom_site_fract_z
_atom_site_occupancy
Ti1 0.000 0.500 0.250 1
Ti2 0.071 0.201 0.000 1
Co1 0.000 0.000 0.250 1
Sb1 0.164 0.336 0.500 1
```

## Properties
D(E_F), states/eV per atom: 1.4806
Final energy, eV/atom: -7.3070
Raw formation energy, eV per formula unit: -3.63
Density, kg/m3: 6478

[9]
The following is a PBE calculation of a geometry-optimized Ti12CoSb6 structure, from Alexandria.

```
data_Ti12CoSb6
_chemical_formula_sum 'Ti36 Co3 Sb18'
_symmetry_space_group_name_H-M 'R -3'
_symmetry_Int_Tables_number 148
_symmetry_space_group_name_Hall '-R 3'
_cell_length_a 11.5721
_cell_length_b 11.5721
_cell_length_c 9.9929
_cell_angle_alpha 90.00
_cell_angle_beta 90.00
_cell_angle_gamma 120.00
loop_
_atom_site_label
_atom_site_fract_x
_atom_site_fract_y
_atom_site_fract_z
_atom_site_occupancy
Ti1 0.0230 0.8657 0.3746 1
Ti2 0.0769 0.8866 0.8752 1
Co1 0.0000 0.0000 0.0000 1
Sb1 0.0323 0.7389 0.6301 1
```

## Properties
D(E_F), states/eV per atom: 1.2858
Final energy, eV/atom: -6.7956
Raw formation energy, eV per formula unit: -2.54
Density, kg/m3: 5863

[10]
The following is a PBE calculation of a geometry-optimized Ti7Co2Sb structure, from Alexandria.

```
data_Ti7Co2Sb
_chemical_formula_sum 'Ti14 Co4 Sb2'
_symmetry_space_group_name_H-M 'C m m m'
_symmetry_Int_Tables_number 65
_symmetry_space_group_name_Hall '-C 2 2'
_cell_length_a 7.595
_cell_length_b 11.593
_cell_length_c 4.346
_cell_angle_alpha 90.00
_cell_angle_beta 90.00
_cell_angle_gamma 90.00
loop_
_atom_site_label
_atom_site_fract_x
_atom_site_fract_y
_atom_site_fract_z
_atom_site_occupancy
Ti1 0.000 0.000 0.000 1
Ti2 0.000 0.233 0.500 1
Ti3 0.195 0.373 0.000 1
Co1 0.000 0.202 0.000 1
Sb1 0.000 0.500 0.500 1
```

## Properties
D(E_F), states/eV per atom: 1.7763
Final energy, eV/atom: -7.1752
Raw formation energy, eV per formula unit: 1.85
Density, kg/m3: 4988

[11]
The following is a PBE calculation of a geometry-optimized TiCoSb3 structure, from Alexandria.

```
data_TiCoSb3
_chemical_formula_sum 'Ti1 Co1 Sb3'
_symmetry_space_group_name_H-M 'P m -3 m'
_symmetry_Int_Tables_number 221
_symmetry_space_group_name_Hall '-P 4 2 3'
_cell_length_a 4.918
_cell_length_b 4.918
_cell_length_c 4.918
_cell_angle_alpha 90.00
_cell_angle_beta 90.00
_cell_angle_gamma 90.00
loop_
_atom_site_label
_atom_site_fract_x
_atom_site_fract_y
_atom_site_fract_z
_atom_site_occupancy
Ti1 0.000 0.000 0.000 1
Co1 0.500 0.500 0.500 1
Sb1 0.000 0.500 0.500 1
```

## Properties
D(E_F), states/eV per atom: 1.4217
Final energy, eV/atom: -4.9292
Raw formation energy, eV per formula unit: 2.72
Density, kg/m3: 6589

[12]
The following is a PBE calculation of a geometry-optimized Ti3CoSb structure, from Alexandria.

```
data_Ti3CoSb
_chemical_formula_sum 'Ti3 Co1 Sb1'
_symmetry_space_group_name_H-M 'P m -3 m'
_symmetry_Int_Tables_number 221
_symmetry_space_group_name_Hall '-P 4 2 3'
_cell_length_a 4.510
_cell_length_b 4.510
_cell_length_c 4.510
_cell_angle_alpha 90.00
_cell_angle_beta 90.00
_cell_angle_gamma 90.00
loop_
_atom_site_label
_atom_site_fract_x
_atom_site_fract_y
_atom_site_fract_z
_atom_site_occupancy
Ti1 0.000 0.000 0.500 1
Co1 0.000 0.000 0.000 1
Sb1 0.500 0.500 0.500 1
```

## Properties
D(E_F), states/eV per atom: 0.7930
Final energy, eV/atom: -7.0901
Raw formation energy, eV per formula unit: -0.54
Density, kg/m3: 5871

- What is the formula in the third record?
  Th12CoSb6

- Which formula does entry 10 have?
  Ti7Co2Sb

- Among the records above, which one has the highest D(E_F)?
  Ti7Co2Sb

What did the eighth record say?
The following is a PBE calculation of a geometry-optimized Ti5CoSb2 structure, from Alexandria.

```
data_Ti5CoSb2
_chemical_formula_sum 'Ti20 Co4 Sb8'
_symmetry_space_group_name_H-M 'I 4/m c m'
_symmetry_Int_Tables_number 140
_symmetry_space_group_name_Hall '-I 4 2c'
_cell_length_a 10.469
_cell_length_b 10.469
_cell_length_c 5.068
_cell_angle_alpha 90.00
_cell_angle_beta 90.00
_cell_angle_gamma 90.00
loop_
_atom_site_label
_atom_site_fract_x
_atom_site_fract_y
_atom_site_fract_z
_atom_site_occupancy
Ti1 0.000 0.500 0.250 1
Ti2 0.071 0.201 0.000 1
Co1 0.000 0.000 0.250 1
Sb1 0.164 0.336 0.500 1
```

## Properties
D(E_F), states/eV per atom: 1.4806
Final energy, eV/atom: -7.3070
Raw formation energy, eV per formula unit: -3.63
Density, kg/m3: 6478